No. 1
The following is a DFT calculation (PBE) of a geometry-optimized ErPa3Tl2O12 structure.

Unit cell a=8.0737 b=8.0737 c=8.0737 alpha=61.51 beta=61.51 gamma=61.51
Atoms (fractional coordinates):
O 0.9585 0.3096 0.3096
O 0.3096 0.9585 0.3096
O 0.3096 0.3096 0.9585
O 0.0630 0.0630 0.6774
O 0.3226 0.9370 0.9370
O 0.6904 0.6904 0.0415
O 0.9370 0.9370 0.3226
O 0.0630 0.6774 0.0630
O 0.6774 0.0630 0.0630
O 0.6904 0.0415 0.6904
O 0.9370 0.3226 0.9370
O 0.0415 0.6904 0.6904
Pa 0.0000 0.0000 0.5000
Pa 0.5000 0.0000 0.0000
Pa 0.0000 0.5000 0.0000
Tl 0.3187 0.3187 0.3187
Tl 0.6813 0.6813 0.6813
Er 0.0000 0.0000 0.0000

Electronic total energy, eV per atom: -7.888
Formation energy from raw total energies, eV per atom: -2.483
Size of the total moment, μB/cell: 3.393

=====

No. 2
The following is a DFT calculation (PBE) of a geometry-optimized ErPa2TlO8 structure.

Unit cell a=5.4144 b=5.4144 c=6.6572 alpha=113.99 beta=113.99 gamma=90.00
Atoms (fractional coordinates):
O 0.8720 0.8670 0.2248
O 0.1418 0.1310 0.7158
O 0.5740 0.5848 0.7158
O 0.3528 0.3578 0.2248
O 0.1330 0.6472 0.7752
O 0.6422 0.1280 0.7752
O 0.8690 0.4260 0.2842
O 0.4152 0.8582 0.2842
Er 0.7500 0.2500 0.5000
Tl 0.0000 0.0000 0.0000
Pa 0.5000 0.5000 0.0000
Pa 0.2500 0.7500 0.5000

Electronic total energy, eV per atom: -8.487
Formation energy from raw total energies, eV per atom: -3.022
Size of the total moment, μB/cell: 0.000

=====

> What is the formula in the first record?

ErPa3Tl2O12

=====

> Which formula does entry 1 have?

ErPa3Tl2O12

=====

> size of the total moment of number 2 (ErPa2TlO8)?

0.000 μB/cell

=====

> size of the total moment of number 2 (ErPa2TlO8)?

0.000 μB/cell